(1)
CsGe12Pt6 | PBE-GGA | relaxed

Results
* space-group type: R-3m (166)
* formation enthalpy at 0 K: -0.231 eV/atom
* N(E_F): 7.042 states/eV/cell

```
CsGe12Pt6
1.0
6.0082 3.4688 3.2161
-6.0082 3.4688 3.2161
0.0000 -6.9377 3.2161
Cs Ge Pt
1 12 6
Cartesian
0.0000 0.0000 0.0000
-2.1773 -3.7711 4.8242
-4.3545 0.0000 4.8242
-1.9066 -1.1008 3.5198
1.9066 -1.1008 3.5198
0.0000 2.2016 3.5198
2.1773 -3.7711 4.8242
-2.1773 3.7711 4.8242
0.0000 -2.2016 6.1286
-1.9066 1.1008 6.1286
1.9066 1.1008 6.1286
4.3545 0.0000 4.8242
2.1773 3.7711 4.8242
0.0000 -2.7321 3.5331
-2.3660 1.3660 3.5331
-2.3660 -1.3660 6.1153
2.3660 1.3660 3.5331
2.3660 -1.3660 6.1153
0.0000 2.7320 6.1153
```

(2)
Cs3Ge3Pt5 | PBE-GGA | relaxed

Results
* space-group type: P1 (1)
* formation enthalpy at 0 K: -0.386 eV/atom
* N(E_F): 2.490 states/eV/cell

```
Cs3Ge3Pt5
1.0
7.0277 0.0000 0.0000
2.5909 6.9987 0.0000
1.3969 3.3409 6.5712
Cs Ge Pt
3 3 5
Cartesian
0.0000 0.0000 0.0000
1.3669 3.4187 2.1920
2.7411 6.8037 4.4220
6.0185 6.8418 2.3507
4.8186 3.1821 4.0304
6.3654 7.1844 6.5525
5.1028 4.6707 2.2051
6.4231 8.0455 4.3403
5.6771 5.1855 5.2247
4.4079 1.9259 1.5089
7.4400 9.7451 6.5049
```

Per-record raw total energy, eV per formula unit: -96.90; -50.86